Record 1
VASP calculation (PBE) on a geometry-optimized RbCu6Cl8 structure.

The volume is 979 Å³ per cell. The raw total energy is -3.3453 eV per atom. The value obtained for the theoretical density is 3.820 g/cm³. The calculation puts the energy relative to the elements, uncorrected at -657.5 meV/atom. The calculation puts the magnetization at 2.3 μB/cell. The density of states at the Fermi level is 15.42 states/eV/f.u.

The structure belongs to space group R-3 (No. 148, hexagonal axes); the cell edges are 10.2859, 10.2859 and 10.6802 Å and the angles 90.00°, 90.00° and 120.00°. Symmetry generates all atoms from Rb at (0.0000, 0.0000, 0.0000), Cu at (0.0551, 0.2289, 0.5870), Cl at (0.0000, 0.0000, 0.3254) and Cl at (0.0102, 0.3199, 0.0947).

***

Record 2
VASP calculation (PBE) on a geometry-optimized LiSn2Rh structure.

The volume is 250 Å³ per cell. The raw total energy is -4.7068 eV per atom. The value obtained for the theoretical density is 6.919 g/cm³. The calculation puts the magnetization at 0.0 μB/cell. The value obtained for the formation energy is -1.6 eV/f.u. The density of states at the Fermi level is 1.97 states/eV/f.u.

The structure belongs to space group R3m (No. 160, hexagonal axes); the cell edges are 4.3698, 4.3698 and 15.1200 Å and the angles 90.00°, 90.00° and 120.00°. Symmetry generates all atoms from Li at (0.0000, 0.0000, 0.0000), Sn at (0.0000, 0.0000, 0.2211), Sn at (0.0000, 0.0000, 0.4236) and Rh at (0.0000, 0.0000, 0.8163).

***

Record 3
VASP calculation (PBE) on a geometry-optimized YSn2PtS structure.

The volume is 175 Å³ per cell. The raw total energy is -4.0941 eV per atom. The value obtained for the theoretical density is 5.251 g/cm³. The calculation puts the energy relative to the elements, uncorrected at 833.5 meV/atom. The calculation puts the magnetization at 0.0 μB/cell. The density of states at the Fermi level is 6.72 states/eV/f.u.

The structure belongs to space group P4/mmm (No. 123); the cell edges are 5.900, 5.900 and 5.027 Å and the angles 90.00°, 90.00° and 90.00°. Symmetry generates all atoms from Y at (0.000, 0.000, 0.000), Sn at (0.000, 0.500, 0.000), Pt at (0.000, 0.000, 0.500) and S at (0.500, 0.500, 0.500).

***

Record 4
VASP calculation (PBE) on a geometry-optimized Ni2HgAs structure.

The volume is 65 Å³ per cell. The raw total energy is -4.0883 eV per atom. The value obtained for the theoretical density is 10.110 g/cm³. The calculation puts the magnetization at 0.0 μB/cell. The value obtained for the formation energy is 0.2 eV/f.u. The density of states at the Fermi level is 2.87 states/eV/f.u.

The structure belongs to space group P4mm (No. 99); the cell edges are 3.116, 3.116 and 6.646 Å and the angles 90.00°, 90.00° and 90.00°. Symmetry generates all atoms from Ni at (0.000, 0.000, 0.000), Ni at (0.500, 0.500, 0.206), Hg at (0.500, 0.500, 0.761) and As at (0.000, 0.000, 0.361).

***

> Among the records above, which one has the highest raw total energy?

RbCu6Cl8

***

> magnetization of number 3 (YSn2PtS)?

0.0 μB/cell

***

> What is the formula in the first record?

RbCu6Cl8